Entry 1:
An optimized crystal structure of Te2AuNF, computed with PBE.

Lattice parameters (Å, degrees): 4.9553 4.9553 3.8701 90.00 90.00 90.00
Fractional coordinates of all 5 atoms:
Au1 0.5000 0.5000 0.5000
F1 0.0000 0.0000 0.0000
Te1 0.5000 0.0000 0.0000
Te2 0.0000 0.5000 0.0000
N1 0.0000 0.0000 0.5000

Output
- offset from the most stable computed form (meV/atom) = 304
- space-group type = P4/mmm
- density (kg/m³) = 8478
- uncorrected formation energy (eV per atom) = 1.136


Entry 2:
An optimized crystal structure of Te2AuNF, computed with PBE.

Lattice parameters (Å, degrees): 5.6846 5.6846 3.7183 90.00 90.00 90.00
Fractional coordinates of all 5 atoms:
F1 0.5000 0.5000 0.5000
Te1 0.0000 0.5000 0.0000
Te2 0.5000 0.0000 0.0000
Au1 0.0000 0.0000 0.0000
N1 0.0000 0.0000 0.5000

Output
- offset from the most stable computed form (meV/atom) = 0
- space-group type = P4/mmm
- density (kg/m³) = 6705
- uncorrected formation energy (eV per atom) = 0.833


Entry 3:
An optimized crystal structure of TeAuNF, computed with PBE.

Lattice parameters (Å, degrees): 4.4928 3.1890 4.9542 90.00 108.74 90.00
Fractional coordinates of all 4 atoms:
Te1 0.3536 0.0000 0.5723
F1 0.0053 0.0000 0.7437
N1 0.1147 0.5000 0.3007
Au1 0.6076 0.5000 0.1764

Output
- offset from the most stable computed form (meV/atom) = 113
- space-group type = Pm
- density (kg/m³) = 8833
- uncorrected formation energy (eV per atom) = 0.083


Entry 4:
An optimized crystal structure of TeAuNF, computed with PBE.

Lattice parameters (Å, degrees): 4.0040 4.6108 4.8707 87.51 80.53 86.74
Fractional coordinates of all 4 atoms:
F1 0.9803 0.1549 0.0429
N1 0.0315 0.6665 0.4815
Au1 0.5039 0.6787 0.6114
Te1 0.9894 0.7067 0.0908

Output
- offset from the most stable computed form (meV/atom) = 52
- space-group type = P1
- density (kg/m³) = 6709
- uncorrected formation energy (eV per atom) = 0.022


Entry 5:
An optimized crystal structure of TeAuNF, computed with PBE.

Lattice parameters (Å, degrees): 3.2342 5.9776 7.4580 90.00 90.00 90.00
Fractional coordinates of all 8 atoms:
Au1 0.0000 0.5000 0.5908
F1 0.5000 0.0000 0.8066
N1 0.5000 0.0000 0.3623
Au2 0.5000 0.0000 0.0908
N2 0.0000 0.5000 0.8623
F2 0.0000 0.5000 0.3066
Te1 0.0000 0.0000 0.5333
Te2 0.5000 0.5000 0.0333

Output
- offset from the most stable computed form (meV/atom) = 0
- space-group type = Imm2
- density (kg/m³) = 8236
- uncorrected formation energy (eV per atom) = -0.030


Entry 6:
An optimized crystal structure of TiAuNF2, computed with PBE.

Lattice parameters (Å, degrees): 4.5665 3.8333 4.5665 90.00 90.00 90.00
Last column: magnetic moment on the atom in μB.
Fractional coordinates of all 5 atoms:
Ti1 0.5000 0.5000 0.5000  -0.72
F1 0.0000 0.0000 0.5000  0.01
F2 0.5000 0.0000 0.0000  -0.02
Au1 0.0000 0.0000 0.0000  0.06
N1 0.0000 0.5000 0.0000  0.15

Output
- offset from the most stable computed form (meV/atom) = 1498
- space-group type = P4/mmm
- density (kg/m³) = 6166
- uncorrected formation energy (eV per atom) = 0.245